# 1
Entry from Alexandria via LeMat-Bulk: CsCdGaO3 after structural relaxation (GGA-PBE). Values from VASP.

The value obtained for the formation energy from raw total energies is -1.407 eV per atom. As for the symmetry: No. 63. The calculation puts the uncorrected energy at -4.69 eV per atom.

Structure (Quantum ESPRESSO input):
```
&SYSTEM
  ibrav = 0, nat = 12, ntyp = 4
/
ATOMIC_SPECIES
Cs 132.91 Cs.upf
Cd 112.41 Cd.upf
Ga 69.72 Ga.upf
O 16.00 O.upf
CELL_PARAMETERS angstrom
2.961 -5.608 0.000
2.961 5.608 0.000
0.000 0.000 5.761
ATOMIC_POSITIONS crystal
Cs 0.246 0.754 0.750
Cs 0.754 0.246 0.250
Cd 0.079 0.921 0.250
Cd 0.921 0.079 0.750
Ga 0.441 0.559 0.250
Ga 0.559 0.441 0.750
O 0.277 0.723 0.250
O 0.279 0.279 0.000
O 0.279 0.279 0.500
O 0.721 0.721 0.000
O 0.721 0.721 0.500
O 0.723 0.277 0.750
```


# 2
Entry from Alexandria via LeMat-Bulk: Ru2RhCl after structural relaxation (GGA-PBE). Values from VASP.

The value obtained for the formation energy from raw total energies is 0.805 eV per atom. The value obtained for the energy relative to the lowest polymorph listed for this composition is 459 meV per atom. As for the symmetry: No. 123. The calculation puts the uncorrected energy at -6.13 eV per atom.

Structure (Quantum ESPRESSO input):
```
&SYSTEM
  ibrav = 0, nat = 4, ntyp = 3
/
ATOMIC_SPECIES
Ru 101.07 Ru.upf
Rh 102.91 Rh.upf
Cl 35.45 Cl.upf
CELL_PARAMETERS angstrom
4.584 0.000 0.000
0.000 4.584 0.000
0.000 0.000 2.802
ATOMIC_POSITIONS crystal
Ru 0.000 0.500 0.000
Ru 0.500 0.000 0.000
Rh 0.000 0.000 0.500
Cl 0.500 0.500 0.500
```


# 3
Entry from Alexandria via LeMat-Bulk: ScNbPd after structural relaxation (GGA-PBE). Values from VASP.

The value obtained for the energy relative to the lowest polymorph listed for this composition is 181 meV per atom. For the formation energy, the calculation gives -281 meV/atom. As for the symmetry: No. 1. The calculation puts the uncorrected energy at -7.48 eV per atom.

Structure (Quantum ESPRESSO input):
```
&SYSTEM
  ibrav = 0, nat = 6, ntyp = 3
/
ATOMIC_SPECIES
Sc 44.96 Sc.upf
Nb 92.91 Nb.upf
Pd 106.42 Pd.upf
CELL_PARAMETERS angstrom
2.932 0.000 0.000
0.778 5.342 0.000
0.263 1.871 6.999
ATOMIC_POSITIONS crystal
Sc 0.000 0.000 0.000
Sc 0.162 0.099 0.383
Nb 0.267 0.409 0.671
Nb 0.450 0.470 0.015
Pd 0.699 0.872 0.700
Pd 0.720 0.634 0.326
```